(1)
## CeTeCl3 (PBE)

Data for an optimized crystal structure of CeTeCl3.

Cell and atoms, written as CIF:
```
data_CeTeCl3
_cell_length_a 11.407
_cell_length_b 8.571
_cell_length_c 7.678
_cell_angle_alpha 90.00
_cell_angle_beta 123.10
_cell_angle_gamma 90.00
_symmetry_space_group_name_H-M 'C 1 2/m 1'
_symmetry_Int_Tables_number 12
loop_
_symmetry_equiv_pos_as_xyz
'x,y,z'
'-x,-y,-z'
'-x,y,-z'
'x,-y,z'
'x+1/2,y+1/2,z'
'-x+1/2,-y+1/2,-z'
'-x+1/2,y+1/2,-z'
'x+1/2,-y+1/2,z'
loop_
_atom_site_label
_atom_site_type_symbol
_atom_site_fract_x
_atom_site_fract_y
_atom_site_fract_z
Ce1 Ce 0.218 0.000 0.074
Te1 Te 0.062 0.500 0.395
Cl1 Cl 0.050 0.000 0.251
Cl2 Cl 0.221 0.310 0.173
```


(2)
# ZrOs2Cl (PBE, relaxed)
# Energy above the lowest structure with this stoichiometry: 194 meV per atom
data_ZrOs2Cl
_cell_length_a 8.660
_cell_length_b 2.951
_cell_length_c 5.704
_cell_angle_alpha 90.00
_cell_angle_beta 98.59
_cell_angle_gamma 90.00
_symmetry_space_group_name_H-M 'C 1 m 1'
_symmetry_Int_Tables_number 8
loop_
_symmetry_equiv_pos_as_xyz
'x,y,z'
'x,-y,z'
'x+1/2,y+1/2,z'
'x+1/2,-y+1/2,z'
loop_
_atom_site_label
_atom_site_type_symbol
_atom_site_fract_x
_atom_site_fract_y
_atom_site_fract_z
Zr1 Zr 0.000 0.000 0.000
Os1 Os 0.065 0.500 0.490
Os2 Os 0.323 0.000 0.636
Cl1 Cl 0.233 0.500 0.132


(3)
## Ni2HgSb (PBE)

Data for an optimized crystal structure of Ni2HgSb.

Cell and atoms, written as CIF:
```
data_Ni2HgSb
_cell_length_a 3.2698
_cell_length_b 3.2698
_cell_length_c 22.4762
_cell_angle_alpha 90.00
_cell_angle_beta 90.00
_cell_angle_gamma 120.00
_symmetry_space_group_name_H-M 'R -3 m'
_symmetry_Int_Tables_number 166
_symmetry_space_group_name_Hall '-R 3 2"'
loop_
_atom_site_label
_atom_site_type_symbol
_atom_site_fract_x
_atom_site_fract_y
_atom_site_fract_z
Ni1 Ni 0.0000 0.0000 0.2454
Hg1 Hg 0.0000 0.0000 0.0000
Sb1 Sb 0.0000 0.0000 0.5000
```


(4)
# AcSmSn (PBE, relaxed)
# Energy above the lowest structure with this stoichiometry: 192 meV per atom
data_AcSmSn
_cell_length_a 7.701
_cell_length_b 7.701
_cell_length_c 7.701
_cell_angle_alpha 90.00
_cell_angle_beta 90.00
_cell_angle_gamma 90.00
_symmetry_space_group_name_H-M 'F -4 3 m'
_symmetry_Int_Tables_number 216
_symmetry_space_group_name_Hall 'F -4 2 3'
loop_
_atom_site_label
_atom_site_type_symbol
_atom_site_fract_x
_atom_site_fract_y
_atom_site_fract_z
Ac1 Ac 0.000 0.000 0.000
Sm1 Sm 0.000 0.000 0.500
Sn1 Sn 0.250 0.250 0.750


(5)
## Pm5Er4Tl2 (PBE)

Data for an optimized crystal structure of Pm5Er4Tl2.

Cell and atoms, written as CIF:
```
data_Pm5Er4Tl2
_cell_length_a 5.2842
_cell_length_b 5.2842
_cell_length_c 46.7140
_cell_angle_alpha 90.00
_cell_angle_beta 90.00
_cell_angle_gamma 120.00
_symmetry_space_group_name_H-M 'R -3 m'
_symmetry_Int_Tables_number 166
_symmetry_space_group_name_Hall '-R 3 2"'
loop_
_atom_site_label
_atom_site_type_symbol
_atom_site_fract_x
_atom_site_fract_y
_atom_site_fract_z
Pm1 Pm 0.0000 0.0000 0.0000
Pm2 Pm 0.0000 0.0000 0.1478
Pm3 Pm 0.0000 0.0000 0.3012
Er1 Er 0.0000 0.0000 0.0734
Er2 Er 0.0000 0.0000 0.2262
Tl1 Tl 0.0000 0.0000 0.3925
```


(6)
## Eu4Bi2Cl (PBE)

Data for an optimized crystal structure of Eu4Bi2Cl.

Cell and atoms, written as CIF:
```
data_Eu4Bi2Cl
_cell_length_a 5.357
_cell_length_b 5.357
_cell_length_c 17.352
_cell_angle_alpha 90.00
_cell_angle_beta 90.00
_cell_angle_gamma 90.00
_symmetry_space_group_name_H-M 'I 4/m m m'
_symmetry_Int_Tables_number 139
_symmetry_space_group_name_Hall '-I 4 2'
loop_
_atom_site_label
_atom_site_type_symbol
_atom_site_fract_x
_atom_site_fract_y
_atom_site_fract_z
Eu1 Eu 0.000 0.000 0.178
Eu2 Eu 0.000 0.500 0.000
Bi1 Bi 0.000 0.000 0.368
Cl1 Cl 0.000 0.000 0.000
```


| no. | energy (eV/atom) | M_tot (μB/f.u.) |
| --- | --- | --- |
| 1 | -4.58 | 1.04 |
| 2 | -8.05 | 0.00 |
| 3 | -3.83 | 0.00 |
| 4 | -4.65 | 0.00 |
| 5 | -4.00 | 0.00 |
| 6 | -8.24 | 28.95 |